1.
Y2MgU2Ru5 | PBE | relaxed

Cell: 10.8401 10.8401 3.3061 Å, 90.00 90.00 90.00°
Closest atoms and distances in Å follow each position.
Sites, in units of the cell vectors:
Y 0.1621 0.3379 0.0000  1 U 2.87, 2 Ru 2.98
Y 0.3379 0.8379 0.0000  1 U 2.87, 2 Ru 2.98
Y 0.6621 0.1621 0.0000  1 U 2.87, 2 Ru 2.98
Y 0.8379 0.6621 0.0000  1 U 2.87, 2 Ru 2.98
Mg 0.0000 0.0000 0.0000  8 Ru 2.83
Mg 0.5000 0.5000 0.0000  8 Ru 2.83
U 0.1508 0.6508 0.0000  4 Ru 2.50
U 0.3492 0.1508 0.0000  4 Ru 2.50
U 0.6508 0.8492 0.0000  4 Ru 2.50
U 0.8492 0.3492 0.0000  4 Ru 2.50
Ru 0.0000 0.5000 0.5000  4 U 2.84, 4 Y 2.98
Ru 0.0546 0.7950 0.5000  2 U 2.50
Ru 0.2050 0.0546 0.5000  2 U 2.50
Ru 0.2950 0.5546 0.5000  2 U 2.50
Ru 0.4454 0.2950 0.5000  2 U 2.50
Ru 0.5000 0.0000 0.5000  4 U 2.84, 4 Y 2.98
Ru 0.5546 0.7050 0.5000  2 U 2.50
Ru 0.7050 0.4454 0.5000  2 U 2.50
Ru 0.7950 0.9454 0.5000  2 U 2.50
Ru 0.9454 0.2050 0.5000  2 U 2.50

Crystal system: tetragonal
SG: P4/mbm, No. 127


2.
MgUZnRu | PBE | relaxed

Cell: 6.6583 6.6583 6.6583 Å, 90.00 90.00 90.00°
Closest atoms and distances in Å follow each position.
Sites, in units of the cell vectors:
Mg 0.0000 0.0000 0.0000  4 Ru 2.88, 4 Zn 2.88
Mg 0.0000 0.5000 0.5000  4 Zn 2.88, 4 Ru 2.88
Mg 0.5000 0.0000 0.5000  4 Zn 2.88, 4 Ru 2.88
Mg 0.5000 0.5000 0.0000  4 Zn 2.88, 4 Ru 2.88
U 0.0000 0.0000 0.5000  4 Ru 2.88, 4 Zn 2.88
U 0.0000 0.5000 0.0000  4 Ru 2.88, 4 Zn 2.88
U 0.5000 0.0000 0.0000  4 Ru 2.88, 4 Zn 2.88
U 0.5000 0.5000 0.5000  4 Ru 2.88, 4 Zn 2.88
Zn 0.2500 0.2500 0.7500  4 U 2.88, 4 Mg 2.88
Zn 0.2500 0.7500 0.2500  4 U 2.88, 4 Mg 2.88
Zn 0.7500 0.2500 0.2500  4 U 2.88, 4 Mg 2.88
Zn 0.7500 0.7500 0.7500  4 U 2.88, 4 Mg 2.88
Ru 0.2500 0.2500 0.2500  4 U 2.88, 4 Mg 2.88
Ru 0.2500 0.7500 0.7500  4 U 2.88, 4 Mg 2.88
Ru 0.7500 0.2500 0.7500  4 U 2.88, 4 Mg 2.88
Ru 0.7500 0.7500 0.2500  4 U 2.88, 4 Mg 2.88

Crystal system: cubic
SG: F-43m, No. 216


3.
Mg2VRu | PBE | relaxed

Cell: 6.4216 6.4216 6.4216 Å, 90.00 90.00 90.00°
Closest atoms and distances in Å follow each position.
Sites, in units of the cell vectors:
Mg 0.2500 0.2500 0.2500  4 Ru 2.78, 4 V 2.78
Mg 0.2500 0.2500 0.7500  4 V 2.78, 4 Ru 2.78
Mg 0.2500 0.7500 0.2500  4 V 2.78, 4 Ru 2.78
Mg 0.2500 0.7500 0.7500  4 Ru 2.78, 4 V 2.78
Mg 0.7500 0.2500 0.2500  4 V 2.78, 4 Ru 2.78
Mg 0.7500 0.2500 0.7500  4 Ru 2.78, 4 V 2.78
Mg 0.7500 0.7500 0.2500  4 Ru 2.78, 4 V 2.78
Mg 0.7500 0.7500 0.7500  4 V 2.78, 4 Ru 2.78
V 0.0000 0.0000 0.0000  8 Mg 2.78
V 0.0000 0.5000 0.5000  8 Mg 2.78
V 0.5000 0.0000 0.5000  8 Mg 2.78
V 0.5000 0.5000 0.0000  8 Mg 2.78
Ru 0.0000 0.0000 0.5000  8 Mg 2.78
Ru 0.0000 0.5000 0.0000  8 Mg 2.78
Ru 0.5000 0.0000 0.0000  8 Mg 2.78
Ru 0.5000 0.5000 0.5000  8 Mg 2.78

ΔE to the lowest computed polymorph in eV/f.u.: 0.00
Crystal system: cubic
SG: Fm-3m, No. 225


4.
MgVRu3 | PBE | relaxed

Cell: 4.4730 4.4730 4.4730 Å, 90.00 90.00 90.00°
Closest atoms and distances in Å follow each position.
Sites, in units of the cell vectors:
Mg 0.0000 0.0000 0.0000  12 Ru 3.16
V 0.5000 0.5000 0.5000  6 Ru 2.24
Ru 0.0000 0.5000 0.5000  2 V 2.24
Ru 0.5000 0.0000 0.5000  2 V 2.24
Ru 0.5000 0.5000 0.0000  2 V 2.24

ΔE to the lowest computed polymorph in eV/f.u.: 0.00
Crystal system: cubic
SG: Pm-3m, No. 221


5.
MgV2Ru | PBE | relaxed

Cell: 7.1041 7.1041 5.2452 Å, 90.00 90.00 90.00°
Closest atoms and distances in Å follow each position.
Sites, in units of the cell vectors:
Mg 0.0000 0.0000 0.0000  2 Ru 2.62, 4 V 2.85
Mg 0.0000 0.5000 0.2500  2 Ru 2.62, 4 V 2.85
Mg 0.5000 0.0000 0.7500  2 Ru 2.62, 4 V 2.85
Mg 0.5000 0.5000 0.5000  2 Ru 2.62, 4 V 2.85
V 0.1995 0.2500 0.6250  2 Ru 2.36
V 0.2500 0.6995 0.8750  2 Ru 2.36
V 0.2500 0.8005 0.3750  2 Ru 2.36
V 0.3005 0.2500 0.1250  2 Ru 2.36
V 0.6995 0.7500 0.1250  2 Ru 2.36
V 0.7500 0.1995 0.3750  2 Ru 2.36
V 0.7500 0.3005 0.8750  2 Ru 2.36
V 0.8005 0.7500 0.6250  2 Ru 2.36
Ru 0.0000 0.0000 0.5000  4 V 2.36, 2 Mg 2.62
Ru 0.0000 0.5000 0.7500  4 V 2.36, 2 Mg 2.62
Ru 0.5000 0.0000 0.2500  4 V 2.36, 2 Mg 2.62
Ru 0.5000 0.5000 0.0000  4 V 2.36, 2 Mg 2.62

Crystal system: tetragonal
SG: I-42d, No. 122


6.
Mg2VRu | PBE | relaxed

Cell: 7.3122 7.3122 5.3036 Å, 90.00 90.00 90.00°
Closest atoms and distances in Å follow each position.
Sites, in units of the cell vectors:
Mg 0.2314 0.2500 0.1250  2 Ru 2.58, 2 Mg 2.67, 2 V 2.76
Mg 0.2500 0.7314 0.3750  2 Ru 2.58, 2 Mg 2.67, 2 V 2.76
Mg 0.2500 0.7686 0.8750  2 Ru 2.58, 2 Mg 2.67, 2 V 2.76
Mg 0.2686 0.2500 0.6250  2 Ru 2.58, 2 Mg 2.67, 2 V 2.76
Mg 0.7314 0.7500 0.6250  2 Ru 2.58, 2 Mg 2.67, 2 V 2.76
Mg 0.7500 0.2314 0.8750  2 Ru 2.58, 2 Mg 2.67, 2 V 2.76
Mg 0.7500 0.2686 0.3750  2 Ru 2.58, 2 Mg 2.67, 2 V 2.76
Mg 0.7686 0.7500 0.1250  2 Ru 2.58, 2 Mg 2.67, 2 V 2.76
V 0.0000 0.0000 0.5000  2 Ru 2.65, 4 Mg 2.76
V 0.0000 0.5000 0.7500  2 Ru 2.65, 4 Mg 2.76
V 0.5000 0.0000 0.2500  2 Ru 2.65, 4 Mg 2.76
V 0.5000 0.5000 0.0000  2 Ru 2.65, 4 Mg 2.76
Ru 0.0000 0.0000 0.0000  4 Mg 2.58, 2 V 2.65
Ru 0.0000 0.5000 0.2500  4 Mg 2.58, 2 V 2.65
Ru 0.5000 0.0000 0.7500  4 Mg 2.58, 2 V 2.65
Ru 0.5000 0.5000 0.5000  4 Mg 2.58, 2 V 2.65

ΔE to the lowest computed polymorph in eV/f.u.: 1.20
Crystal system: tetragonal
SG: I-42d, No. 122


7.
MgV4Ru5 | PBE | relaxed

Cell: 3.0104 3.0104 15.4243 Å, 90.00 90.00 90.00°
Closest atoms and distances in Å follow each position.
Sites, in units of the cell vectors:
Mg 0.0000 0.0000 0.0000  8 Ru 2.77, 4 Mg 3.01, 2 V 3.09
V 0.0000 0.0000 0.2005  8 Ru 2.50-2.69
V 0.0000 0.0000 0.4008  8 Ru 2.57-2.62
V 0.0000 0.0000 0.5992  8 Ru 2.57-2.62
V 0.0000 0.0000 0.7995  8 Ru 2.50-2.69
Ru 0.5000 0.5000 0.1151  4 V 2.50, 4 Mg 2.77
Ru 0.5000 0.5000 0.3069  8 V 2.57-2.69
Ru 0.5000 0.5000 0.5000  8 V 2.62
Ru 0.5000 0.5000 0.6931  8 V 2.57-2.69
Ru 0.5000 0.5000 0.8849  4 V 2.50, 4 Mg 2.77

Crystal system: tetragonal
SG: P4/mmm, No. 123


8.
MgVRu | PBE | relaxed

Cell: 3.0915 3.0915 9.7227 Å, 90.00 90.00 90.00°
Closest atoms and distances in Å follow each position.
Sites, in units of the cell vectors:
Mg 0.0000 0.0000 0.0000  5 Ru 2.82-3.09, 5 V 2.89-2.97, 4 Mg 3.09
Mg 0.5000 0.5000 0.5000  5 Ru 2.82-3.09, 5 V 2.89-2.97, 4 Mg 3.09
V 0.0000 0.0000 0.6945  4 Ru 2.49
V 0.5000 0.5000 0.1945  4 Ru 2.49
Ru 0.0000 0.0000 0.3175  4 V 2.49
Ru 0.5000 0.5000 0.8175  4 V 2.49

ΔE to the lowest computed polymorph in eV/f.u.: 0.00
Crystal system: tetragonal
SG: I4mm, No. 107


Values for formation energy from the elements, eV per atom, ordered as above
-0.172, 0.096, 0.345, 0.815, 0.444, 0.645, -0.291, -0.103